CsCo2CuAs | PBE | relaxed

Results
Calculated volume, A^3/atom: 26.32
ΔE_f, eV per atom: 2.441

The structure in POSCAR format:
```
CsCo2CuAs
1.0
4.778 0.000 0.000
0.000 4.778 0.000
0.000 0.000 5.764
Cs Co Cu As
1 2 1 1
direct
0.000 0.000 0.000
0.000 0.500 0.000
0.500 0.000 0.000
0.500 0.500 0.500
0.000 0.000 0.500
```